[1]
{
  "formula": "Sm5TeSe4",
  "functional": "PBE",
  "state": "relaxed",
  "final_energy_ev_per_atom": -5.79,
  "n_ef_per_ev_cell": 4.97,
  "sg": "C2/m (12)",
  "cell": [[4.107, 0.000, 0.938], [1.732, 6.895, 1.876], [0.003, 0.004, 9.443]],
  "species": ["Sm", "Sm", "Sm", "Sm", "Sm", "Se", "Se", "Se", "Se", "Te"],
  "frac_coords": [[0.000, 0.500, 0.500], [0.792, 0.103, 0.314], [0.208, 0.897, 0.686], [0.388, 0.331, 0.893], [0.612, 0.669, 0.107], [0.796, 0.614, 0.794], [0.204, 0.386, 0.206], [0.406, 0.795, 0.393], [0.594, 0.205, 0.607], [0.000, 0.000, 0.000]]
}

[2]
{
  "formula": "Sm5Te2Se2",
  "functional": "PBE",
  "state": "relaxed",
  "final_energy_ev_per_atom": -5.41,
  "n_ef_per_ev_cell": 10.68,
  "sg": "Cmce (64)",
  "cell": [[7.935, 0.000, 0.000], [0.000, 7.513, -4.349], [0.000, -0.718, 8.651]],
  "species": ["Se", "Se", "Se", "Se", "Te", "Te", "Te", "Te", "Sm", "Sm", "Sm", "Sm", "Sm", "Sm", "Sm", "Sm", "Sm", "Sm"],
  "frac_coords": [[0.356, 0.146, 0.146], [0.144, 0.646, 0.646], [0.856, 0.354, 0.354], [0.644, 0.854, 0.854], [0.000, 0.202, 0.798], [0.500, 0.298, 0.702], [0.000, 0.798, 0.202], [0.500, 0.702, 0.298], [0.656, 0.029, 0.283], [0.844, 0.529, 0.783], [0.844, 0.783, 0.529], [0.000, 0.000, 0.000], [0.656, 0.283, 0.029], [0.500, 0.500, 0.500], [0.344, 0.717, 0.971], [0.156, 0.471, 0.217], [0.344, 0.971, 0.717], [0.156, 0.217, 0.471]]
}

[3]
{
  "formula": "Sm6Te5Se",
  "functional": "PBE",
  "state": "relaxed",
  "final_energy_ev_per_atom": -5.42,
  "n_ef_per_ev_cell": 5.30,
  "sg": "C2/m (12)",
  "cell": [[-5.444, 2.340, -4.797], [-3.496, -6.092, -3.007], [-6.106, -2.998, 3.466]],
  "species": ["Sm", "Sm", "Sm", "Sm", "Sm", "Sm", "Te", "Te", "Te", "Te", "Te", "Se"],
  "frac_coords": [[0.239, 0.223, 0.000], [0.761, 0.777, 0.000], [0.771, 0.074, 0.306], [0.771, 0.380, 0.694], [0.229, 0.620, 0.306], [0.229, 0.926, 0.694], [0.500, 0.500, 0.000], [0.500, 0.823, 0.353], [0.000, 0.664, 0.672], [0.500, 0.177, 0.647], [0.000, 0.336, 0.328], [0.000, 0.000, 0.000]]
}